1.
! LiCd2Pt2 (GGA-PBE, optimized geometry); values from VASP
&SYSTEM
  ibrav = 0, nat = 10, ntyp = 3
/
ATOMIC_SPECIES
Li 6.94 Li.upf
Pt 195.08 Pt.upf
Cd 112.41 Cd.upf
ATOMIC_POSITIONS crystal
Li 0.500 0.500 0.000
Li 0.000 0.000 0.000
Pt 0.155 0.655 0.500
Pt 0.345 0.155 0.500
Pt 0.655 0.845 0.500
Pt 0.845 0.345 0.500
Cd 0.857 0.643 0.000
Cd 0.143 0.357 0.000
Cd 0.643 0.143 0.000
Cd 0.357 0.857 0.000
CELL_PARAMETERS angstrom
8.020 0.000 0.000
0.000 8.020 0.000
0.000 0.000 2.961
! - crystal system = tetragonal
! - energy above the most stable polymorph in this dataset (meV/atom) = 69
! - electronic total energy (eV per cell) = -34.77

---

2.
! Li2CdPt (GGA-PBE, optimized geometry); values from VASP
&SYSTEM
  ibrav = 0, nat = 4, ntyp = 3
/
ATOMIC_SPECIES
Li 6.94 Li.upf
Cd 112.41 Cd.upf
Pt 195.08 Pt.upf
ATOMIC_POSITIONS crystal
Li 0.000 0.000 0.000
Li 0.750 0.250 0.500
Cd 0.250 0.750 0.500
Pt 0.500 0.500 0.000
CELL_PARAMETERS angstrom
4.837 0.006 -0.009
1.464 4.611 0.009
-3.146 -2.315 2.854
! - crystal system = tetragonal
! - electronic total energy (eV per cell) = -12.66